Record 1
Compound: TmSnIrAu
Source: Alexandria via LeMat-Bulk
Functional: GGA-PBE
Structure: relaxed

Cell: 4.814 4.814 4.814 Å, 60.00 60.00 60.00°
Fractional positions:
Tm 0.000 0.000 0.000
Sn 0.500 0.500 0.500
Ir 0.750 0.750 0.750
Au 0.250 0.250 0.250

Computed properties:
space group: No. 216
volume: 19.7 A^3/atom
density of states at the Fermi level: 1.2 states/eV per cell
ΔE_f: -0.525 eV per atom
calculated density: 14245 kg/m3

=====

Record 2
Compound: TeP2O
Source: Alexandria via LeMat-Bulk
Functional: GGA-PBE
Structure: relaxed

Cell: 7.417 7.417 7.417 Å, 142.59 142.59 53.94°
Fractional positions:
Te 0.000 0.000 0.000
Te 0.750 0.250 0.500
P 0.297 0.625 0.172
P 0.375 0.547 0.672
P 0.453 0.125 0.828
P 0.875 0.703 0.328
O 0.250 0.750 0.500
O 0.500 0.500 0.000

Computed properties:
space group: No. 122
E above lowest polymorph: 0 kJ/mol of formula units
volume: 18.7 A^3/atom
ΔE_f (raw): 0.22 eV per atom
density of states at the Fermi level: 3.7 states/eV per cell
calculated density: 4564 kg/m3

=====

Record 3
Compound: NbGe2Os
Source: Alexandria via LeMat-Bulk
Functional: GGA-PBE
Structure: relaxed

Cell: 4.449 4.449 4.449 Å, 60.00 60.00 60.00°
Fractional positions:
Nb 0.000 0.000 0.000
Ge 0.250 0.250 0.250
Ge 0.750 0.750 0.750
Os 0.500 0.500 0.500

Computed properties:
space group: No. 225
E above lowest polymorph: 0 kJ/mol of formula units
volume: 15.6 A^3/atom
density of states at the Fermi level: 3.3 states/eV per cell
ΔE_f: 0.099 eV per atom
calculated density: 11426 kg/m3

=====

Record 4
Compound: Ac4LaZn5
Source: Alexandria via LeMat-Bulk
Functional: GGA-PBE
Structure: relaxed

Cell: 3.890 3.890 19.319 Å, 90.00 90.00 90.00°
Fractional positions:
Ac 0.000 0.000 0.101
Ac 0.000 0.000 0.305
Ac 0.000 0.000 0.695
Ac 0.000 0.000 0.899
La 0.000 0.000 0.500
Zn 0.500 0.500 0.000
Zn 0.500 0.500 0.202
Zn 0.500 0.500 0.409
Zn 0.500 0.500 0.591
Zn 0.500 0.500 0.798

Computed properties:
space group: No. 123
volume: 29.2 A^3/atom
density of states at the Fermi level: 11.7 states/eV per cell
ΔE_f: -0.256 eV per atom
calculated density: 7806 kg/m3

=====

Record 5
Compound: ZnPRu2
Source: Alexandria via LeMat-Bulk
Functional: GGA-PBE
Structure: relaxed

Cell: 3.037 3.037 5.947 Å, 90.00 90.00 90.00°
Fractional positions:
Zn 0.000 0.000 0.000
P 0.500 0.500 0.269
Ru 0.000 0.000 0.458
Ru 0.500 0.500 0.764

Computed properties:
space group: No. 99
E above lowest polymorph: 102 kJ/mol of formula units
volume: 13.7 A^3/atom
density of states at the Fermi level: 4.3 states/eV per cell
ΔE_f: 0.008 eV per atom
calculated density: 9039 kg/m3

=====

Record 6
Compound: KBeSe2
Source: Alexandria via LeMat-Bulk
Functional: GGA-PBE
Structure: relaxed

Cell: 3.580 4.977 6.048 Å, 90.00 90.00 90.00°
Fractional positions:
K 0.000 0.000 0.000
Be 0.000 0.500 0.500
Se 0.500 0.500 0.258
Se 0.500 0.500 0.742

Computed properties:
space group: No. 47
volume: 26.9 A^3/atom
ΔE_f (raw): -0.61 eV per atom
density of states at the Fermi level: 0.8 states/eV per cell
calculated density: 3174 kg/m3